Arrangement A

A plane-wave DFT calculation with PBE-GGA was carried out for Cr2AgW after structural relaxation.

Structure (CIF):
```
data_Cr2AgW
_chemical_formula_sum 'Cr2 Ag1 W1'
_cell_length_a 4.7385
_cell_length_b 4.7385
_cell_length_c 4.9304
_cell_angle_alpha 97.14
_cell_angle_beta 97.14
_cell_angle_gamma 31.67
_symmetry_space_group_name_H-M 'P 1'
_symmetry_Int_Tables_number 1
_symmetry_space_group_name_Hall 'P 1'
loop_
_atom_site_label
_atom_site_type_symbol
_atom_site_fract_x
_atom_site_fract_y
_atom_site_fract_z
_atom_site_occupancy
Cr1 Cr 0.0000 0.0000 0.0000 1
Cr2 Cr 0.7437 0.7437 0.2400 1
Ag1 Ag 0.4934 0.4934 0.4848 1
W1 W 0.2478 0.2478 0.7550 1
```

***

Arrangement B

A plane-wave DFT calculation with PBE-GGA was carried out for Cr2AgW after structural relaxation.

Structure (CIF):
```
data_Cr2AgW
_chemical_formula_sum 'Cr2 Ag1 W1'
_cell_length_a 4.3761
_cell_length_b 4.3761
_cell_length_c 4.3761
_cell_angle_alpha 60.00
_cell_angle_beta 60.00
_cell_angle_gamma 60.00
_symmetry_space_group_name_H-M 'P 1'
_symmetry_Int_Tables_number 1
_symmetry_space_group_name_Hall 'P 1'
loop_
_atom_site_label
_atom_site_type_symbol
_atom_site_fract_x
_atom_site_fract_y
_atom_site_fract_z
_atom_site_occupancy
Cr1 Cr 0.0000 0.0000 0.0000 1
Cr2 Cr 0.2500 0.2500 0.2500 1
Ag1 Ag 0.7500 0.7500 0.7500 1
W1 W 0.5000 0.5000 0.5000 1
```

***

Arrangement C

A plane-wave DFT calculation with PBE-GGA was carried out for Cr2AgW after structural relaxation.

Structure (CIF):
```
data_Cr2AgW
_chemical_formula_sum 'Cr4 Ag2 W2'
_cell_length_a 5.5403
_cell_length_b 5.5403
_cell_length_c 5.5403
_cell_angle_alpha 103.44
_cell_angle_beta 103.44
_cell_angle_gamma 122.36
_symmetry_space_group_name_H-M 'P 1'
_symmetry_Int_Tables_number 1
_symmetry_space_group_name_Hall 'P 1'
loop_
_atom_site_label
_atom_site_type_symbol
_atom_site_fract_x
_atom_site_fract_y
_atom_site_fract_z
_atom_site_occupancy
Cr1 Cr 0.1029 0.6250 0.9779 1
Cr2 Cr 0.3750 0.3529 0.4779 1
Cr3 Cr 0.6471 0.1250 0.0221 1
Cr4 Cr 0.8750 0.8971 0.5221 1
Ag1 Ag 0.2500 0.7500 0.5000 1
Ag2 Ag 0.5000 0.5000 0.0000 1
W1 W 0.0000 0.0000 0.0000 1
W2 W 0.7500 0.2500 0.5000 1
```

***

Least stable of them? arrangement C.

***

Arrangement A

A plane-wave DFT calculation with PBE-GGA was carried out for Cr2AgW after structural relaxation.

Structure (CIF):
```
data_Cr2AgW
_chemical_formula_sum 'Cr2 Ag1 W1'
_cell_length_a 4.9172
_cell_length_b 4.9172
_cell_length_c 4.9172
_cell_angle_alpha 141.63
_cell_angle_beta 127.34
_cell_angle_gamma 67.01
_symmetry_space_group_name_H-M 'P 1'
_symmetry_Int_Tables_number 1
_symmetry_space_group_name_Hall 'P 1'
loop_
_atom_site_label
_atom_site_type_symbol
_atom_site_fract_x
_atom_site_fract_y
_atom_site_fract_z
_atom_site_occupancy
Cr1 Cr 0.2346 0.2346 0.0000 1
Cr2 Cr 0.7654 0.7654 0.0000 1
Ag1 Ag 0.5000 0.0000 0.5000 1
W1 W 0.0000 0.5000 0.5000 1
```

***

Arrangement B

A plane-wave DFT calculation with PBE-GGA was carried out for Cr2AgW after structural relaxation.

Structure (CIF):
```
data_Cr2AgW
_chemical_formula_sum 'Cr2 Ag1 W1'
_cell_length_a 8.9547
_cell_length_b 8.9547
_cell_length_c 8.9547
_cell_angle_alpha 17.84
_cell_angle_beta 17.84
_cell_angle_gamma 17.84
_symmetry_space_group_name_H-M 'P 1'
_symmetry_Int_Tables_number 1
_symmetry_space_group_name_Hall 'P 1'
loop_
_atom_site_label
_atom_site_type_symbol
_atom_site_fract_x
_atom_site_fract_y
_atom_site_fract_z
_atom_site_occupancy
Cr1 Cr 0.0000 0.0000 0.0000 1
Cr2 Cr 0.2710 0.2710 0.2710 1
Ag1 Ag 0.5139 0.5139 0.5139 1
W1 W 0.7516 0.7516 0.7516 1
```

***

Least stable of them? arrangement A.

***

Arrangement A

A plane-wave DFT calculation with PBE-GGA was carried out for Cr2AgW after structural relaxation.

Structure (CIF):
```
data_Cr2AgW
_chemical_formula_sum 'Cr2 Ag1 W1'
_cell_length_a 2.6526
_cell_length_b 2.6526
_cell_length_c 8.7310
_cell_angle_alpha 90.00
_cell_angle_beta 90.00
_cell_angle_gamma 108.78
_symmetry_space_group_name_H-M 'P 1'
_symmetry_Int_Tables_number 1
_symmetry_space_group_name_Hall 'P 1'
loop_
_atom_site_label
_atom_site_type_symbol
_atom_site_fract_x
_atom_site_fract_y
_atom_site_fract_z
_atom_site_occupancy
Cr1 Cr 0.0000 0.0000 0.2367 1
Cr2 Cr 0.0000 0.0000 0.7633 1
Ag1 Ag 0.5000 0.5000 0.5000 1
W1 W 0.5000 0.5000 0.0000 1
```

***

Arrangement B

A plane-wave DFT calculation with PBE-GGA was carried out for Cr2AgW after structural relaxation.

Structure (CIF):
```
data_Cr2AgW
_chemical_formula_sum 'Cr2 Ag1 W1'
_cell_length_a 3.1056
_cell_length_b 3.1056
_cell_length_c 6.3493
_cell_angle_alpha 90.00
_cell_angle_beta 90.00
_cell_angle_gamma 90.00
_symmetry_space_group_name_H-M 'P 1'
_symmetry_Int_Tables_number 1
_symmetry_space_group_name_Hall 'P 1'
loop_
_atom_site_label
_atom_site_type_symbol
_atom_site_fract_x
_atom_site_fract_y
_atom_site_fract_z
_atom_site_occupancy
Cr1 Cr 0.0000 0.0000 0.2219 1
Cr2 Cr 0.0000 0.0000 0.7781 1
Ag1 Ag 0.5000 0.5000 0.5000 1
W1 W 0.5000 0.5000 0.0000 1
```

***

Arrangement C

A plane-wave DFT calculation with PBE-GGA was carried out for Cr2AgW after structural relaxation.

Structure (CIF):
```
data_Cr2AgW
_chemical_formula_sum 'Cr2 Ag1 W1'
_cell_length_a 9.1841
_cell_length_b 9.1841
_cell_length_c 9.1841
_cell_angle_alpha 17.55
_cell_angle_beta 17.55
_cell_angle_gamma 17.55
_symmetry_space_group_name_H-M 'P 1'
_symmetry_Int_Tables_number 1
_symmetry_space_group_name_Hall 'P 1'
loop_
_atom_site_label
_atom_site_type_symbol
_atom_site_fract_x
_atom_site_fract_y
_atom_site_fract_z
_atom_site_occupancy
Cr1 Cr 0.2462 0.2462 0.2462 1
Cr2 Cr 0.7538 0.7538 0.7538 1
Ag1 Ag 0.0000 0.0000 0.0000 1
W1 W 0.5000 0.5000 0.5000 1
```

***

Least stable of them? arrangement C.

***

Arrangement A

A plane-wave DFT calculation with PBE-GGA was carried out for Cr2AgW after structural relaxation.

Structure (CIF):
```
data_Cr2AgW
_chemical_formula_sum 'Cr2 Ag1 W1'
_cell_length_a 5.0947
_cell_length_b 5.0947
_cell_length_c 2.5883
_cell_angle_alpha 99.59
_cell_angle_beta 99.59
_cell_angle_gamma 115.65
_symmetry_space_group_name_H-M 'P 1'
_symmetry_Int_Tables_number 1
_symmetry_space_group_name_Hall 'P 1'
loop_
_atom_site_label
_atom_site_type_symbol
_atom_site_fract_x
_atom_site_fract_y
_atom_site_fract_z
_atom_site_occupancy
Cr1 Cr 0.0000 0.5000 0.0000 1
Cr2 Cr 0.5000 0.0000 0.0000 1
Ag1 Ag 0.0000 0.0000 0.5000 1
W1 W 0.5000 0.5000 0.5000 1
```

***

Arrangement B

A plane-wave DFT calculation with PBE-GGA was carried out for Cr2AgW after structural relaxation.

Structure (CIF):
```
data_Cr2AgW
_chemical_formula_sum 'Cr2 Ag1 W1'
_cell_length_a 2.6685
_cell_length_b 4.0347
_cell_length_c 5.4894
_cell_angle_alpha 90.00
_cell_angle_beta 100.62
_cell_angle_gamma 90.00
_symmetry_space_group_name_H-M 'P 1'
_symmetry_Int_Tables_number 1
_symmetry_space_group_name_Hall 'P 1'
loop_
_atom_site_label
_atom_site_type_symbol
_atom_site_fract_x
_atom_site_fract_y
_atom_site_fract_z
_atom_site_occupancy
Cr1 Cr 0.0000 0.0000 0.0000 1
Cr2 Cr 0.3935 0.5000 0.1921 1
Ag1 Ag 0.4662 0.5000 0.7162 1
W1 W 0.8787 0.0000 0.4227 1
```

***

Least stable of them? arrangement A.

***

Arrangement A

A plane-wave DFT calculation with PBE-GGA was carried out for CrAg3W after structural relaxation.

Structure (CIF):
```
data_CrAg3W
_chemical_formula_sum 'Cr1 Ag3 W1'
_cell_length_a 4.6527
_cell_length_b 4.6527
_cell_length_c 4.6527
_cell_angle_alpha 90.00
_cell_angle_beta 90.00
_cell_angle_gamma 90.00
_symmetry_space_group_name_H-M 'P 1'
_symmetry_Int_Tables_number 1
_symmetry_space_group_name_Hall 'P 1'
loop_
_atom_site_label
_atom_site_type_symbol
_atom_site_fract_x
_atom_site_fract_y
_atom_site_fract_z
_atom_site_occupancy
Cr1 Cr 0.0000 0.0000 0.0000 1
Ag1 Ag 0.0000 0.0000 0.5000 1
Ag2 Ag 0.0000 0.5000 0.0000 1
Ag3 Ag 0.5000 0.0000 0.0000 1
W1 W 0.5000 0.5000 0.5000 1
```

***

Arrangement B

A plane-wave DFT calculation with PBE-GGA was carried out for CrAg3W after structural relaxation.

Structure (CIF):
```
data_CrAg3W
_chemical_formula_sum 'Cr1 Ag3 W1'
_cell_length_a 5.0632
_cell_length_b 5.0632
_cell_length_c 5.0632
_cell_angle_alpha 90.00
_cell_angle_beta 90.00
_cell_angle_gamma 90.00
_symmetry_space_group_name_H-M 'P 1'
_symmetry_Int_Tables_number 1
_symmetry_space_group_name_Hall 'P 1'
loop_
_atom_site_label
_atom_site_type_symbol
_atom_site_fract_x
_atom_site_fract_y
_atom_site_fract_z
_atom_site_occupancy
Cr1 Cr 0.0000 0.0000 0.0000 1
Ag1 Ag 0.0000 0.5000 0.5000 1
Ag2 Ag 0.5000 0.0000 0.5000 1
Ag3 Ag 0.5000 0.5000 0.0000 1
W1 W 0.5000 0.5000 0.5000 1
```

***

Least stable of them? arrangement A.

***

Arrangement A

A plane-wave DFT calculation with PBE-GGA was carried out for ZnCr3Ag after structural relaxation.

Structure (CIF):
```
data_ZnCr3Ag
_chemical_formula_sum 'Zn1 Cr3 Ag1'
_cell_length_a 4.7412
_cell_length_b 4.7412
_cell_length_c 4.7412
_cell_angle_alpha 90.00
_cell_angle_beta 90.00
_cell_angle_gamma 90.00
_symmetry_space_group_name_H-M 'P 1'
_symmetry_Int_Tables_number 1
_symmetry_space_group_name_Hall 'P 1'
loop_
_atom_site_label
_atom_site_type_symbol
_atom_site_fract_x
_atom_site_fract_y
_atom_site_fract_z
_atom_site_occupancy
Zn1 Zn 0.0000 0.0000 0.0000 1
Cr1 Cr 0.0000 0.0000 0.5000 1
Cr2 Cr 0.0000 0.5000 0.0000 1
Cr3 Cr 0.5000 0.0000 0.0000 1
Ag1 Ag 0.5000 0.5000 0.5000 1
```

***

Arrangement B

A plane-wave DFT calculation with PBE-GGA was carried out for ZnCr3Ag after structural relaxation.

Structure (CIF):
```
data_ZnCr3Ag
_chemical_formula_sum 'Zn1 Cr3 Ag1'
_cell_length_a 4.9894
_cell_length_b 4.9894
_cell_length_c 4.9894
_cell_angle_alpha 90.00
_cell_angle_beta 90.00
_cell_angle_gamma 90.00
_symmetry_space_group_name_H-M 'P 1'
_symmetry_Int_Tables_number 1
_symmetry_space_group_name_Hall 'P 1'
loop_
_atom_site_label
_atom_site_type_symbol
_atom_site_fract_x
_atom_site_fract_y
_atom_site_fract_z
_atom_site_occupancy
Zn1 Zn 0.0000 0.0000 0.0000 1
Cr1 Cr 0.0000 0.5000 0.5000 1
Cr2 Cr 0.5000 0.0000 0.5000 1
Cr3 Cr 0.5000 0.5000 0.0000 1
Ag1 Ag 0.5000 0.5000 0.5000 1
```

***

Least stable of them? arrangement B.